Entry from the Alexandria database: an optimized crystal structure of Li4FeCo5O12 (PBE with a Hubbard U).

abc: 4.8820 4.8867 9.9105
angles: 80.61 85.22 60.18
Fractional positions:
1 Li 0.0000 0.0000 0.0000
2 Li 0.0044 0.8252 0.5102
3 Li 0.3359 0.3334 0.9998
4 Li 0.3406 0.1545 0.5104
5 Fe 0.6702 0.5783 0.2550
6 Co 0.0033 0.9113 0.2551
7 Co 0.3371 0.2452 0.2551
8 Co 0.3391 0.7440 0.7551
9 Co 0.6703 0.0782 0.7551
10 Co 0.9994 0.4138 0.7550
11 O 0.0066 0.5419 0.3599
12 O 0.0085 0.2747 0.1506
13 O 0.0080 0.7086 0.8574
14 O 0.0101 0.1091 0.6528
15 O 0.3253 0.0552 0.8575
16 O 0.3272 0.4455 0.6527
17 O 0.3319 0.8818 0.3598
18 O 0.3337 0.6148 0.1500
19 O 0.6686 0.9502 0.1500
20 O 0.6718 0.2064 0.3601
21 O 0.6727 0.3722 0.8584
22 O 0.6744 0.7814 0.6517

Calculated values
As for the space group: P1 (1). The calculation puts the volume at 202.4 Å³/cell. As for the spin magnetization: 2.90 μB/f.u. The value obtained for the electronic total energy is -5.737 eV per atom.